Ba2HgC2 after structural relaxation. Source: Alexandria via LeMat-Bulk, functional PBE-GGA.

Results
- ΔH_f (0 K): 11 meV per atom
- Energy relative to the lowest polymorph listed for this composition: 0.0 meV per atom
- Symmetry: P4/mbm (127)
- DFT total energy: -4.51 eV/atom

```
Ba2HgC2
1.0
8.1094 0.0000 0.0000
0.0000 8.1094 0.0000
0.0000 0.0000 3.9085
Ba Hg C
4 2 4
Cartesian
1.7808 2.2739 0.0000
2.2739 6.3286 0.0000
5.8355 1.7808 0.0000
6.3286 5.8355 0.0000
0.0000 0.0000 1.9543
4.0547 4.0547 1.9543
0.4547 4.5094 1.9543
3.6001 0.4547 1.9543
4.5094 7.6548 1.9543
7.6548 3.6001 1.9543
```